# 1
Dy2CdSn2: relaxed, PBE.

## Properties
VASP energy = -4.17 eV/atom
Formation enthalpy at 0 K = -262 kJ/mol of formula units
Space-group type = No. 12

abc: 4.583 6.264 10.210
angles: 78.35 77.03 68.54
Fractional coordinates of all 10 atoms:
Dy1 0.320 0.257 0.103
Dy2 0.497 0.331 0.675
Dy3 0.680 0.743 0.897
Dy4 0.503 0.669 0.325
Cd1 0.798 0.077 0.327
Cd2 0.202 0.923 0.673
Sn1 0.950 0.205 0.894
Sn2 0.142 0.285 0.430
Sn3 0.050 0.795 0.106
Sn4 0.858 0.715 0.570

***

# 2
FeCuH: relaxed, PBE.

## Properties
VASP energy = -5.20 eV/atom
Space-group type = No. 156
Energy relative to the lowest polymorph listed for this composition = 0.03 eV/f.u.

abc: 2.613 2.613 4.382
angles: 90.00 90.00 120.00
Fractional coordinates of all 3 atoms:
H1 0.667 0.333 0.375
Fe1 0.333 0.667 0.574
Cu1 0.000 0.000 0.051